Na3Cr3MoO8 | PBE with a Hubbard U | relaxed

Summary:
Its electronic total energy is -6.73 eV/atom.

Cell and atoms, written as CIF:
```
data_Na3Cr3MoO8
_space_group_name_H-M_alt 'C 1 2/m 1'
_space_group_IT_number 12
_cell_length_a 10.711
_cell_length_b 6.080
_cell_length_c 6.543
_cell_angle_alpha 90.00
_cell_angle_beta 123.02
_cell_angle_gamma 90.00
loop_
_space_group_symop_operation_xyz
'x,y,z'
'-x,-y,-z'
'-x,y,-z'
'x,-y,z'
'x+1/2,y+1/2,z'
'-x+1/2,-y+1/2,-z'
'-x+1/2,y+1/2,-z'
'x+1/2,-y+1/2,z'
loop_
_atom_site_label
_atom_site_fract_x
_atom_site_fract_y
_atom_site_fract_z
Na1 0.000 0.000 0.000
Na2 0.250 0.250 0.000
Cr1 0.000 0.500 0.500
Cr2 0.250 0.250 0.500
Mo1 0.000 0.000 0.500
O1 0.020 0.248 0.308
O2 0.229 0.500 0.693
O3 0.234 0.000 0.693
```